[1]
A geometry-optimized AcPm8Y2 structure. Source: Alexandria, functional PBE.

The space group is C2/m (No. 12) and the conventional cell measures 18.0613, 6.7826 and 6.4374 Å, with angles of 90.00, 93.31 and 90.00 degrees. The inequivalent atoms are Ac at (0.0000, 0.0000, 0.0000), Pm at (0.0951, 0.2545, 0.5006), Pm at (0.1015, 0.5000, 0.9849), Pm at (0.2045, 0.0000, 0.1702) and Y at (0.2492, 0.5000, 0.3182).

For the energy above the most stable polymorph in this dataset, the calculation gives 0.147 eV/atom. Its size of the total moment is 0.0 μB/f.u. For the density of states at the Fermi level, the calculation gives 35.59 states/eV/cell.

=====

[2]
A geometry-optimized PmScOsPd structure. Source: Alexandria, functional PBE.

The space group is F-43m (No. 216) and the conventional cell measures 6.8054, 6.8054 and 6.8054 Å, with angles of 90.00, 90.00 and 90.00 degrees. The inequivalent atoms are Pm at (0.0000, 0.0000, 0.0000), Sc at (0.0000, 0.0000, 0.5000), Os at (0.2500, 0.2500, 0.7500) and Pd at (0.2500, 0.2500, 0.2500).

Its size of the total moment is 0.0 μB/f.u. For the total DFT energy (no corrections), the calculation gives -7.332 eV/atom. For the density of states at the Fermi level, the calculation gives 6.88 states/eV/cell.

=====

[3]
A geometry-optimized Tb5Pm2Pu structure. Source: Alexandria, functional PBE.

The space group is C2/c (No. 15) and the conventional cell measures 9.6671, 9.1946 and 12.1580 Å, with angles of 90.00, 107.17 and 90.00 degrees. The inequivalent atoms are Tb at (0.0000, 0.2329, 0.2500), Tb at (0.1249, 0.3637, 0.0167), Tb at (0.1854, 0.4313, 0.7578), Pm at (0.0000, 0.0000, 0.0000), Pm at (0.2500, 0.2500, 0.5000) and Pu at (0.0000, 0.1300, 0.7500).

Its size of the total moment is 6.6 μB/f.u. For the total DFT energy (no corrections), the calculation gives -5.692 eV/atom. For the density of states at the Fermi level, the calculation gives 65.67 states/eV/cell.

=====

[4]
A geometry-optimized HgOs2Ru structure. Source: Alexandria, functional PBE.

The space group is P4/mmm (No. 123) and the conventional cell measures 2.7746, 2.7746 and 8.1726 Å, with angles of 90.00, 90.00 and 90.00 degrees. The inequivalent atoms are Hg at (0.0000, 0.0000, 0.0000), Os at (0.5000, 0.5000, 0.2761) and Ru at (0.0000, 0.0000, 0.5000).

Its size of the total moment is 0.0 μB/f.u. For the total DFT energy (no corrections), the calculation gives -7.432 eV/atom. For the density of states at the Fermi level, the calculation gives 3.73 states/eV/cell.

=====

[5]
A geometry-optimized BaAg3F6 structure. Source: Alexandria, functional PBE.

The space group is Cmmm (No. 65) and the conventional cell measures 7.9238, 11.6312 and 4.1367 Å, with angles of 90.00, 90.00 and 90.00 degrees. The inequivalent atoms are Ba at (0.0000, 0.0000, 0.0000), Ag at (0.0000, 0.5000, 0.0000), Ag at (0.2500, 0.2500, 0.5000), F at (0.0000, 0.1424, 0.5000) and F at (0.2022, 0.3760, 0.0000).

Its size of the total moment is 1.0 μB/f.u. The uncorrected formation energy comes out at -1.8851 eV per atom. For the density of states at the Fermi level, the calculation gives 6.03 states/eV/cell.

=====

[6]
A geometry-optimized Ag2C3 structure. Source: Alexandria, functional PBE.

The space group is P-3m1 (No. 164) and the conventional cell measures 2.6251, 2.6251 and 12.4867 Å, with angles of 90.00, 90.00 and 120.00 degrees. The inequivalent atoms are Ag at (0.3333, 0.6667, 0.3432), C at (0.0000, 0.0000, 0.5000) and C at (0.3333, 0.6667, 0.0000).

For the energy above the most stable polymorph in this dataset, the calculation gives 0.135 eV/atom. Its size of the total moment is 0.0 μB/f.u. For the density of states at the Fermi level, the calculation gives 1.40 states/eV/cell.